a:
! V2CdF8 PBE with a Hubbard U optimized geometry; values from VASP
&SYSTEM
  ibrav = 0, nat = 11, ntyp = 3
/
ATOMIC_SPECIES
V 50.94 V.upf
Cd 112.41 Cd.upf
F 19.00 F.upf
ATOMIC_POSITIONS angstrom
V 1.815 0.000 2.496
V 7.320 0.000 2.592
Cd 5.010 0.000 0.000
F 0.434 0.000 3.717
F 2.926 1.375 3.515
F 3.242 0.000 1.164
F 6.210 1.375 1.573
F 2.926 -1.375 3.515
F 5.894 0.000 3.925
F 6.210 -1.375 1.573
F 8.702 0.000 1.372
CELL_PARAMETERS angstrom
5.010 -3.115 0.000
5.010 3.115 0.000
-0.885 0.000 5.088
! * calculated volume: 158.8 Å³/cell

---

b:
! V2CdF8 PBE with a Hubbard U optimized geometry; values from VASP
&SYSTEM
  ibrav = 0, nat = 11, ntyp = 3
/
ATOMIC_SPECIES
V 50.94 V.upf
Cd 112.41 Cd.upf
F 19.00 F.upf
ATOMIC_POSITIONS angstrom
V 0.000 3.899 1.068
V 3.377 1.950 2.999
Cd 0.000 0.000 0.000
F 0.000 2.018 1.037
F -1.629 4.840 1.037
F 0.000 3.899 3.085
F 1.747 1.009 3.030
F 1.629 4.840 1.037
F 3.377 1.950 0.981
F 5.006 1.009 3.030
F 3.377 3.831 3.030
CELL_PARAMETERS angstrom
6.754 0.000 0.000
-3.377 5.849 0.000
0.000 0.000 4.067
! * calculated volume: 160.7 Å³/cell

---

Which structure is the least stable? The one labeled b.

---

a:
! VCd3F PBE with a Hubbard U optimized geometry; values from VASP
&SYSTEM
  ibrav = 0, nat = 5, ntyp = 3
/
ATOMIC_SPECIES
V 50.94 V.upf
Cd 112.41 Cd.upf
F 19.00 F.upf
ATOMIC_POSITIONS angstrom
V 0.000 0.000 0.000
Cd 0.000 0.000 2.774
Cd 0.000 2.774 0.000
Cd 2.774 0.000 0.000
F 2.774 2.774 2.774
CELL_PARAMETERS angstrom
5.547 0.000 0.000
0.000 5.547 0.000
0.000 0.000 5.547
! * calculated volume: 170.7 Å³/cell

---

b:
! VCd3F PBE with a Hubbard U optimized geometry; values from VASP
&SYSTEM
  ibrav = 0, nat = 5, ntyp = 3
/
ATOMIC_SPECIES
V 50.94 V.upf
Cd 112.41 Cd.upf
F 19.00 F.upf
ATOMIC_POSITIONS angstrom
V 0.000 0.000 0.000
Cd 0.000 2.388 2.388
Cd 2.388 0.000 2.388
Cd 2.388 2.388 0.000
F 2.388 2.388 2.388
CELL_PARAMETERS angstrom
4.776 0.000 0.000
0.000 4.776 0.000
0.000 0.000 4.776
! * calculated volume: 109.0 Å³/cell

---

Which structure is the least stable? The one labeled a.

---

a:
! V3CdF PBE with a Hubbard U optimized geometry; values from VASP
&SYSTEM
  ibrav = 0, nat = 5, ntyp = 3
/
ATOMIC_SPECIES
V 50.94 V.upf
Cd 112.41 Cd.upf
F 19.00 F.upf
ATOMIC_POSITIONS angstrom
V 0.000 0.000 2.646
V 0.000 2.646 0.000
V 2.646 0.000 0.000
Cd 0.000 0.000 0.000
F 2.646 2.646 2.646
CELL_PARAMETERS angstrom
5.291 0.000 0.000
0.000 5.291 0.000
0.000 0.000 5.291
! * calculated volume: 148.1 Å³/cell

---

b:
! V3CdF PBE with a Hubbard U optimized geometry; values from VASP
&SYSTEM
  ibrav = 0, nat = 5, ntyp = 3
/
ATOMIC_SPECIES
V 50.94 V.upf
Cd 112.41 Cd.upf
F 19.00 F.upf
ATOMIC_POSITIONS angstrom
V 0.000 0.000 2.254
V 0.000 2.254 0.000
V 2.254 0.000 0.000
Cd 2.254 2.254 2.254
F 0.000 0.000 0.000
CELL_PARAMETERS angstrom
4.507 0.000 0.000
0.000 4.507 0.000
0.000 0.000 4.507
! * calculated volume: 91.6 Å³/cell

---

Which structure is the least stable? The one labeled a.

---

a:
! CdW2F PBE with a Hubbard U optimized geometry; values from VASP
&SYSTEM
  ibrav = 0, nat = 4, ntyp = 3
/
ATOMIC_SPECIES
Cd 112.41 Cd.upf
W 183.84 W.upf
F 19.00 F.upf
ATOMIC_POSITIONS angstrom
Cd 0.000 0.000 0.000
W 1.601 1.601 1.601
W 4.802 4.802 4.802
F 3.201 3.201 3.201
CELL_PARAMETERS angstrom
0.000 3.201 3.201
3.201 0.000 3.201
3.201 3.201 0.000
! * calculated volume: 65.6 Å³/cell

---

b:
! CdW2F PBE with a Hubbard U optimized geometry; values from VASP
&SYSTEM
  ibrav = 0, nat = 8, ntyp = 3
/
ATOMIC_SPECIES
Cd 112.41 Cd.upf
W 183.84 W.upf
F 19.00 F.upf
ATOMIC_POSITIONS angstrom
Cd 0.000 0.000 0.000
Cd 0.000 1.898 5.308
W 2.847 0.917 -2.654
W 0.917 0.949 2.654
W -0.949 0.981 7.962
W 0.981 0.949 13.271
F 1.898 0.000 5.308
F 0.000 0.000 10.617
CELL_PARAMETERS angstrom
-1.898 1.898 10.617
1.898 -1.898 10.617
1.898 1.898 -10.617
! * calculated volume: 153.0 Å³/cell

---

Which structure is the least stable? The one labeled a.

---

a:
! Cd3WF PBE with a Hubbard U optimized geometry; values from VASP
&SYSTEM
  ibrav = 0, nat = 5, ntyp = 3
/
ATOMIC_SPECIES
Cd 112.41 Cd.upf
W 183.84 W.upf
F 19.00 F.upf
ATOMIC_POSITIONS angstrom
Cd 0.000 0.000 2.378
Cd 0.000 2.378 0.000
Cd 2.378 0.000 0.000
W 2.378 2.378 2.378
F 0.000 0.000 0.000
CELL_PARAMETERS angstrom
4.756 0.000 0.000
0.000 4.756 0.000
0.000 0.000 4.756
! * calculated volume: 107.5 Å³/cell

---

b:
! Cd3WF PBE with a Hubbard U optimized geometry; values from VASP
&SYSTEM
  ibrav = 0, nat = 5, ntyp = 3
/
ATOMIC_SPECIES
Cd 112.41 Cd.upf
W 183.84 W.upf
F 19.00 F.upf
ATOMIC_POSITIONS angstrom
Cd 0.000 0.000 2.829
Cd 0.000 2.829 0.000
Cd 2.829 0.000 0.000
W 0.000 0.000 0.000
F 2.829 2.829 2.829
CELL_PARAMETERS angstrom
5.657 0.000 0.000
0.000 5.657 0.000
0.000 0.000 5.657
! * calculated volume: 181.0 Å³/cell

---

Which structure is the least stable? The one labeled b.